Ba12Hg3N5: optimized geometry, PBE.

a b c (Å): 15.6952 15.6952 15.6952
angles (deg): 109.47 109.47 109.47
Element x y z (fractional)
N  0.5000  0.0000  0.0000
Hg  0.7500  0.8750  0.6250
Ba  0.1142  0.4190  0.1021
Ba  0.4879  0.6831  0.1021
Ba  0.4879  0.8048  0.8858
Ba  0.0810  0.8979  0.3858
Ba  0.3979  0.3858  0.5810
Ba  0.0121  0.6142  0.6952
N  0.3750  0.2500  0.1250
Ba  0.3858  0.9879  0.8048
Ba  0.0810  0.1831  0.1952
Ba  0.3169  0.5121  0.3979
Ba  0.3858  0.3979  0.0810
N  0.0000  0.0000  0.5000
Hg  0.2500  0.6250  0.8750
Ba  0.6021  0.6142  0.4190
Ba  0.1952  0.6831  0.0810
N  0.5000  0.5000  0.5000
Ba  0.9879  0.3858  0.3048
Ba  0.0121  0.3979  0.8169
Ba  0.1952  0.5121  0.6142
N  0.0000  0.5000  0.0000
Hg  0.1250  0.8750  0.7500
N  0.6250  0.7500  0.8750
Ba  0.3048  0.4190  0.8169
Ba  0.6952  0.1142  0.0121
Hg  0.8750  0.1250  0.2500
Ba  0.6142  0.6021  0.9190
N  0.2500  0.3750  0.6250
Ba  0.1831  0.1021  0.9879
Ba  0.6831  0.4879  0.6021
Ba  0.8979  0.0810  0.8858
Ba  0.1021  0.1831  0.4879
Ba  0.8048  0.3169  0.9190
Hg  0.3750  0.7500  0.6250
Ba  0.4190  0.1142  0.6021
N  0.1250  0.7500  0.3750
N  0.8750  0.2500  0.6250
Ba  0.8169  0.8979  0.0121
N  0.1250  0.3750  0.2500
Ba  0.9879  0.6021  0.1831
N  0.0000  0.0000  0.0000
N  0.7500  0.1250  0.8750
Ba  0.1831  0.0810  0.6952
Hg  0.8750  0.7500  0.1250
N  0.6250  0.8750  0.2500
Hg  0.6250  0.3750  0.7500
Ba  0.6952  0.5810  0.1831
Ba  0.5121  0.1952  0.1142
Ba  0.1142  0.6952  0.5121
N  0.3750  0.1250  0.7500
N  0.5000  0.0000  0.5000
Ba  0.6142  0.0121  0.1952
Hg  0.6250  0.2500  0.3750
Hg  0.7500  0.3750  0.1250
Hg  0.1250  0.2500  0.8750
N  0.5000  0.5000  0.0000
N  0.7500  0.6250  0.3750
Ba  0.8979  0.8169  0.5121
Ba  0.6021  0.9879  0.6831
Ba  0.1021  0.9190  0.1142
Ba  0.5810  0.8858  0.3979
Ba  0.5121  0.3169  0.8979
Hg  0.2500  0.1250  0.3750
N  0.8750  0.6250  0.7500
Ba  0.3048  0.8858  0.9879
Ba  0.8858  0.3048  0.4879
N  0.2500  0.8750  0.1250
Ba  0.3169  0.8048  0.4190
Ba  0.5810  0.6952  0.6831
Ba  0.6831  0.1952  0.5810
Hg  0.3750  0.6250  0.2500
N  0.0000  0.5000  0.5000
Ba  0.4190  0.3048  0.3169
Ba  0.8048  0.4879  0.3858
Ba  0.3979  0.0121  0.3169
Ba  0.9190  0.1021  0.6142
Ba  0.8858  0.5810  0.8979
Ba  0.8169  0.9190  0.3048
Ba  0.9190  0.8169  0.8048

Results
Energy relative to the elements, uncorrected = -0.295 eV per atom
Spin magnetization = 0.620 μB/f.u.
E_tot = -3.575 eV/atom

Cs4Cl2O: optimized geometry, PBE.

a b c (Å): 4.5146 7.4838 9.1577
angles (deg): 66.88 75.73 72.44
Last column: magnetic moment on the atom in μB.
Element x y z (fractional)
Cs  0.6472  0.7594  0.9463  0.00
Cl  0.6545  0.3628  0.3281  0.00
Cs  0.0543  0.2296  0.6619  0.00
Cs  0.9457  0.7704  0.3381  0.00
Cl  0.3455  0.6372  0.6719  0.00
O  0.0000  0.0000  0.0000  0.09
Cs  0.3528  0.2406  0.0537  0.00

Results
Energy relative to the elements, uncorrected = -1.518 eV per atom
Spin magnetization = 0.112 μB/f.u.
E_tot = -3.241 eV/atom

TcSeO3: optimized geometry, PBE.

a b c (Å): 3.8964 3.8964 3.8964
angles (deg): 90.00 90.00 90.00
Last column: magnetic moment on the atom in μB.
Element x y z (fractional)
O  0.0000  0.0000  0.5000  0.03
O  0.0000  0.5000  0.0000  0.01
Se  0.5000  0.5000  0.5000  0.42
O  0.5000  0.0000  0.0000  0.00
Tc  0.0000  0.0000  0.0000  0.35

Results
Energy relative to the elements, uncorrected = -0.400 eV per atom
Spin magnetization = 1.033 μB/f.u.
E_tot = -6.145 eV/atom

KBeOs2: optimized geometry, PBE.

a b c (Å): 5.6561 5.6561 2.6485
angles (deg): 78.24 78.24 122.59
Element x y z (fractional)
Be  0.5000  0.0000  0.5000
Os  0.0000  0.0000  0.0000
Os  0.5000  0.5000  0.0000
K  0.0000  0.5000  0.5000

Results
Spin magnetization = 0.000 μB/f.u.
E_tot = -5.437 eV/atom
DFT formation energy = 1.38 eV/atom